DFT (GGA-PBE) results for a relaxed structure of Y2PI.

Calculated values
**Total moment**: 0.281 μB per atom
**Space-group type**: Fm-3m
**Fermi-level density of states**: 2.5 states/eV/f.u.
**Energy**: -23.25 eV/cell
**Crystal system**: cubic

abc: 5.157 5.157 5.157
angles: 60.00 60.00 60.00
Element x y z (fractional)
Y 0.250 0.250 0.250
Y 0.750 0.750 0.750
P 0.000 0.000 0.000
I 0.500 0.500 0.500


DFT (GGA-PBE) results for a relaxed structure of In4NiHg2.

Calculated values
**Total moment**: 0.000 μB per atom
**Space-group type**: I4/mmm
**Fermi-level density of states**: 3.2 states/eV/f.u.
**Formation energy from the elements**: 33 meV/atom
**Crystal system**: tetragonal

abc: 8.612 8.612 8.612
angles: 146.47 146.47 48.16
Element x y z (fractional)
In 0.000 0.500 0.500
In 0.163 0.163 0.000
In 0.500 0.000 0.500
In 0.837 0.837 0.000
Ni 0.000 0.000 0.000
Hg 0.351 0.351 0.000
Hg 0.649 0.649 0.000